Compound: SrInGaHIr
Source: Alexandria
Functional: GGA-PBE
Structure: relaxed

Cell and atoms, written as CIF:
```
data_SrInGaHIr
_chemical_formula_sum 'Sr2 In2 Ga2 H2 Ir2'
_cell_length_a 10.755
_cell_length_b 4.867
_cell_length_c 4.777
_cell_angle_alpha 90.00
_cell_angle_beta 116.34
_cell_angle_gamma 90.00
_symmetry_space_group_name_H-M 'C 1 m 1'
_symmetry_Int_Tables_number 8
_symmetry_space_group_name_Hall 'C -2y'
loop_
_atom_site_label
_atom_site_fract_x
_atom_site_fract_y
_atom_site_fract_z
Sr1 0.000 0.000 0.000
In1 0.347 0.000 0.347
Ga1 0.173 0.500 0.674
H1 0.055 0.500 0.058
Ir1 0.225 0.500 0.226
```

Summary:
Relative energy among the computed polymorphs in eV per atom: 0.107
DFT total energy in eV/atom: -4.284